A relaxed structure of FeCoMo2. Source: the Alexandria database, functional GGA-PBE.

The value obtained for the total energy is -73.573 eV per cell. Its total magnetization is 6.17 μB/cell. As for the energy relative to the elements: 2.56 kcal/mol of atoms. Its energy above the lowest structure with this stoichiometry is 23.7 meV per atom. The symmetry is Cmm2.

a = 3.3368 Å, b = 4.0845 Å, c = 7.9624 Å
α = 90.00°, β = 90.00°, γ = 90.00°
Closest atoms and distances in Å follow each position.
Fractional coordinates of all 8 atoms:
1 Fe 0.0000 0.0000 0.0000  4 Co 2.38-2.65, 4 Fe 2.64, 2 Mo 2.64
2 Fe 0.5000 0.5000 0.0000  4 Co 2.38-2.65, 4 Fe 2.64, 2 Mo 2.64
3 Co 0.0000 0.5000 0.7875  4 Fe 2.38-2.65, 2 Mo 2.54, 4 Co 2.64
4 Co 0.5000 0.0000 0.7875  4 Fe 2.38-2.65, 2 Mo 2.54, 4 Co 2.64
5 Mo 0.0000 0.0000 0.5470  4 Co 2.54-2.80, 4 Mo 2.64
6 Mo 0.0000 0.5000 0.2572  6 Mo 2.64-2.85, 4 Fe 2.64-2.89
7 Mo 0.5000 0.0000 0.2572  6 Mo 2.64-2.85, 4 Fe 2.64-2.89
8 Mo 0.5000 0.5000 0.5470  4 Co 2.54-2.80, 4 Mo 2.64



A relaxed structure of ScCo2TcB. Source: the Alexandria database, functional GGA-PBE.

The value obtained for the total energy is -38.759 eV per cell. Its total magnetization is 0.00 μB/cell. As for the energy relative to the elements: -5.41 kcal/mol of atoms. The symmetry is P4/mmm.

a = 3.8824 Å, b = 3.8824 Å, c = 4.1701 Å
α = 90.00°, β = 90.00°, γ = 90.00°
Closest atoms and distances in Å follow each position.
Fractional coordinates of all 5 atoms:
1 Sc 0.0000 0.0000 0.0000  4 Tc 2.75, 8 Co 2.85
2 Co 0.0000 0.5000 0.5000  2 B 1.94
3 Co 0.5000 0.0000 0.5000  2 B 1.94
4 Tc 0.5000 0.5000 0.0000  2 B 2.09
5 B 0.5000 0.5000 0.5000  4 Co 1.94, 2 Tc 2.09



A relaxed structure of AlCd2Tc. Source: the Alexandria database, functional GGA-PBE.

The value obtained for the total energy is -30.544 eV per cell. Its total magnetization is 0.94 μB/cell. As for the energy relative to the elements: 3.84 kcal/mol of atoms. The symmetry is Immm.

a = 3.6923 Å, b = 4.0271 Å, c = 9.4222 Å
α = 90.00°, β = 90.00°, γ = 90.00°
Closest atoms and distances in Å follow each position.
Fractional coordinates of all 8 atoms:
1 Al 0.0000 0.0000 0.0000  4 Tc 2.73, 4 Cd 2.99
2 Al 0.5000 0.5000 0.5000  4 Tc 2.73, 4 Cd 2.99
3 Cd 0.0000 0.5000 0.2497  4 Cd 2.73, 2 Tc 2.99, 2 Al 2.99
4 Cd 0.0000 0.5000 0.7503  4 Cd 2.73, 2 Tc 2.99, 2 Al 2.99
5 Cd 0.5000 0.0000 0.2503  4 Cd 2.73, 2 Tc 2.99, 2 Al 2.99
6 Cd 0.5000 0.0000 0.7497  4 Cd 2.73, 2 Tc 2.99, 2 Al 2.99
7 Tc 0.0000 0.0000 0.5000  4 Al 2.73, 4 Cd 2.99
8 Tc 0.5000 0.5000 0.0000  4 Al 2.73, 4 Cd 2.99



A relaxed structure of YErPbO2. Source: the Alexandria database, functional GGA-PBE.

The value obtained for the total energy is -74.871 eV per cell. Its total magnetization is 0.00 μB/cell. As for the formation energy (no corrections): -2.557 eV per atom. The symmetry is I4mm.

a = 3.8360 Å, b = 3.8360 Å, c = 14.1428 Å
α = 90.00°, β = 90.00°, γ = 90.00°
Closest atoms and distances in Å follow each position.
Fractional coordinates of all 10 atoms:
1 Y 0.0000 0.0000 0.0000  4 O 2.23
2 Y 0.5000 0.5000 0.5000  4 O 2.23
3 Er 0.0000 0.0000 0.6575  4 O 2.20
4 Er 0.5000 0.5000 0.1575  4 O 2.20
5 Pb 0.0000 0.0000 0.3287  4 Er 3.64, 4 Y 3.64, 4 Pb 3.84, 8 O 3.99-4.05
6 Pb 0.5000 0.5000 0.8287  4 Er 3.64, 4 Y 3.64, 4 Pb 3.84, 8 O 3.99-4.05
7 O 0.0000 0.5000 0.0810  2 Er 2.20, 2 Y 2.23
8 O 0.0000 0.5000 0.5810  2 Er 2.20, 2 Y 2.23
9 O 0.5000 0.0000 0.0810  2 Er 2.20, 2 Y 2.23
10 O 0.5000 0.0000 0.5810  2 Er 2.20, 2 Y 2.23



Please write out number 3 again, unchanged.
A relaxed structure of AlCd2Tc. Source: the Alexandria database, functional GGA-PBE.

The value obtained for the total energy is -30.544 eV per cell. Its total magnetization is 0.94 μB/cell. As for the energy relative to the elements: 3.84 kcal/mol of atoms. The symmetry is Immm.

a = 3.6923 Å, b = 4.0271 Å, c = 9.4222 Å
α = 90.00°, β = 90.00°, γ = 90.00°
Closest atoms and distances in Å follow each position.
Fractional coordinates of all 8 atoms:
1 Al 0.0000 0.0000 0.0000  4 Tc 2.73, 4 Cd 2.99
2 Al 0.5000 0.5000 0.5000  4 Tc 2.73, 4 Cd 2.99
3 Cd 0.0000 0.5000 0.2497  4 Cd 2.73, 2 Tc 2.99, 2 Al 2.99
4 Cd 0.0000 0.5000 0.7503  4 Cd 2.73, 2 Tc 2.99, 2 Al 2.99
5 Cd 0.5000 0.0000 0.2503  4 Cd 2.73, 2 Tc 2.99, 2 Al 2.99
6 Cd 0.5000 0.0000 0.7497  4 Cd 2.73, 2 Tc 2.99, 2 Al 2.99
7 Tc 0.0000 0.0000 0.5000  4 Al 2.73, 4 Cd 2.99
8 Tc 0.5000 0.5000 0.0000  4 Al 2.73, 4 Cd 2.99